1.
Entry from Alexandria: an optimized crystal structure of NdTh4Sc4 (GGA-PBE).

Calculated values
E = -6.578 eV/atom
calculated volume = 524.2 Å³/cell
size of the total moment = 0.0 μB/cell
ΔH_f (0 K) = 0.06 eV per atom

Cell lengths 10.3945, 10.3945, 4.8517 Å; angles 90.00, 90.00, 90.00 degrees
With the nearest neighbours (Å) after each atom.
Space group I4/mmm (No. 139)
Asymmetric unit:
Nd 0.0000 0.0000 0.0000 (multiplicity 2)  8 Th 3.49, 4 Sc 3.54
Th 0.1706 0.1706 0.5000 (multiplicity 8)  4 Th 3.37-3.55, 6 Sc 3.43-3.48, 2 Nd 3.49
Sc 0.0000 0.3402 0.0000 (multiplicity 8)  5 Sc 3.32-3.38, 6 Th 3.43-3.48, 1 Nd 3.54

=====

2.
Entry from Alexandria: an optimized crystal structure of Li2SnPd8 (GGA-PBE).

Calculated values
E = -4.833 eV/atom
calculated volume = 337.2 Å³/cell
size of the total moment = 0.0 μB/cell
ΔE to the lowest computed polymorph = 0.000 eV per atom
ΔH_f (0 K) = -0.34 eV per atom

Cell lengths 14.0115, 4.0656, 6.1576 Å; angles 90.00, 105.98, 90.00 degrees
With the nearest neighbours (Å) after each atom.
Space group C2/m (No. 12)
Asymmetric unit:
Li 0.2258 0.0000 0.1445 (multiplicity 4)  10 Pd 2.65-2.81, 2 Li 2.90
Sn 0.0000 0.5000 0.5000 (multiplicity 2)  12 Pd 2.74-2.88
Pd 0.0468 0.0000 0.2272 (multiplicity 4)  1 Li 2.69, 9 Pd 2.74-2.86, 2 Sn 2.83
Pd 0.0959 0.5000 0.9602 (multiplicity 4)  8 Pd 2.74-2.86, 3 Li 2.75-2.76, 1 Sn 2.78
Pd 0.1431 0.0000 0.6974 (multiplicity 4)  3 Li 2.68-2.73, 7 Pd 2.72-2.84, 2 Sn 2.88
Pd 0.1826 0.5000 0.4175 (multiplicity 4)  3 Li 2.65-2.81, 8 Pd 2.72-2.82, 1 Sn 2.74

=====

3.
Entry from Alexandria: an optimized crystal structure of Np3Sb4Pd3 (GGA-PBE).

Calculated values
E = -7.509 eV/atom
calculated volume = 929.8 Å³/cell
size of the total moment = 41.1 μB/cell
formation energy without anion corrections = -0.420 eV/atom

Cell lengths 9.7602, 9.7602, 9.7602 Å; angles 90.00, 90.00, 90.00 degrees
With the nearest neighbours (Å) after each atom.
Space group I-43d (No. 220)
Asymmetric unit:
Np 0.0000 0.2500 0.8750 (multiplicity 12)  4 Pd 2.99, 4 Sb 3.34
Sb 0.0869 0.4131 0.5869 (multiplicity 16)  3 Pd 2.74
Pd 0.0000 0.2500 0.3750 (multiplicity 12)  4 Sb 2.74, 4 Np 2.99